A) # Cd3Ga2Hg6

Crystalline Cd3Ga2Hg6 at its relaxed geometry (PBE, the Alexandria database).

The structure in POSCAR format:
```
Cd3Ga2Hg6
1.0
-4.437 3.008 -1.394
-3.153 -4.548 0.222
1.954 2.515 10.213
Cd Ga Hg
3 2 6
Cartesian
0.000 0.000 0.000
-5.071 0.440 6.090
-0.564 0.535 2.952
-1.601 1.518 8.376
-4.034 -0.543 0.665
-1.904 -1.963 1.824
-2.546 1.815 1.017
-3.731 2.939 7.217
-3.090 -0.839 8.025
-4.552 -0.052 3.375
-1.083 1.027 5.667
```

Mass density (g cm⁻³): 9.14
Space-group type: I4/mmm, No. 139
Calculated volume (Å³ per cell): 305.4



B) # Cd3Ga2Hg6

Crystalline Cd3Ga2Hg6 at its relaxed geometry (PBE, the Alexandria database).

The structure in POSCAR format:
```
Cd3Ga2Hg6
1.0
4.181 0.273 0.411
2.319 3.490 0.410
1.967 1.148 20.389
Cd Ga Hg
3 2 6
Cartesian
0.000 0.000 0.000
6.339 3.677 17.157
2.129 1.234 4.052
4.263 2.471 7.903
4.204 2.440 13.306
6.439 3.730 6.488
2.029 1.181 14.721
6.377 3.697 11.872
2.091 1.214 9.337
4.315 2.499 2.444
4.153 2.412 18.765
```

Mass density (g cm⁻³): 9.92
Space-group type: C2/m, No. 12
Calculated volume (Å³ per cell): 281.1



From most stable to least stable, the computed energies give B), A).



A) # Cd2GaHg5

Crystalline Cd2GaHg5 at its relaxed geometry (PBE, the Alexandria database).

The structure in POSCAR format:
```
Cd2GaHg5
1.0
0.996 -3.021 -5.066
2.631 -1.436 6.348
-5.398 -1.895 2.994
Cd Ga Hg
2 1 5
Cartesian
0.072 -1.886 2.594
-1.850 -5.042 1.550
-0.026 -0.266 -0.045
0.808 -3.830 0.319
-2.187 -2.232 0.350
0.381 -4.681 3.826
-2.610 -3.092 3.819
0.482 -1.794 -2.568
```

Mass density (g cm⁻³): 10.80
Space-group type: P1, No. 1
Calculated volume (Å³ per cell): 199.6



B) # Cd2GaHg5

Crystalline Cd2GaHg5 at its relaxed geometry (PBE, the Alexandria database).

The structure in POSCAR format:
```
Cd2GaHg5
1.0
-1.633 -3.996 -0.083
1.610 -0.528 -6.206
12.582 -5.220 3.708
Cd Ga Hg
4 2 10
Cartesian
7.538 -5.425 0.529
5.021 -4.320 -3.111
1.140 -2.780 -0.914
11.418 -6.965 -1.667
6.291 -2.610 1.854
0.805 -0.264 -3.103
0.000 0.000 0.000
7.096 -2.874 -1.249
10.332 -4.211 -0.572
3.859 -1.537 -1.926
4.713 -1.822 -5.015
9.478 -3.927 2.517
10.762 -6.762 1.473
1.796 -2.982 -4.055
4.362 -4.117 0.042
8.196 -5.628 -2.623
```

Mass density (g cm⁻³): 10.99
Space-group type: Pbam, No. 55
Calculated volume (Å³ per cell): 392.2



From most stable to least stable, the computed energies give A), B).



A) # Cd2GaHg4

Crystalline Cd2GaHg4 at its relaxed geometry (PBE, the Alexandria database).

The structure in POSCAR format:
```
Cd2GaHg4
1.0
-4.428 -1.989 2.303
0.990 -4.786 -2.231
5.644 1.458 5.844
Hg Ga Cd
4 1 2
Cartesian
0.711 -4.582 3.677
1.495 -0.735 2.239
0.495 -2.393 -1.115
-2.214 -0.994 1.151
0.000 0.000 0.000
-0.820 -3.830 1.384
3.025 -1.487 4.532
```

Mass density (g cm⁻³): 8.61
Space-group type: I4/mmm, No. 139
Calculated volume (Å³ per cell): 211.5



B) # Cd2GaHg4

Crystalline Cd2GaHg4 at its relaxed geometry (PBE, the Alexandria database).

The structure in POSCAR format:
```
Cd2GaHg4
1.0
-1.684 -4.636 0.527
2.797 -3.412 2.267
-3.062 -0.597 8.307
Cd Ga Hg
2 1 4
Cartesian
-1.464 -6.482 8.332
-0.485 -2.163 2.769
0.000 0.000 0.000
-0.240 -7.226 5.700
-1.709 -1.419 5.401
0.268 -5.077 2.881
-2.217 -3.567 8.220
```

Mass density (g cm⁻³): 10.18
Space-group type: R-3m, No. 166
Calculated volume (Å³ per cell): 179.0



From most stable to least stable, the computed energies give B), A).



A) # CdGa2Hg2

Crystalline CdGa2Hg2 at its relaxed geometry (PBE, the Alexandria database).

The structure in POSCAR format:
```
CdGa2Hg2
1.0
-2.727 -1.007 -2.496
1.957 -3.181 -0.855
-4.298 -6.085 4.211
Hg Ga Cd
2 2 1
Cartesian
-1.176 -2.901 -0.485
-3.892 -7.372 1.346
-3.705 -4.593 0.020
-1.363 -5.680 0.840
0.000 0.000 0.000
```

Mass density (g cm⁻³): 9.10
Space-group type: I4/mmm, No. 139
Calculated volume (Å³ per cell): 119.2



B) # CdGa2Hg2

Crystalline CdGa2Hg2 at its relaxed geometry (PBE, the Alexandria database).

The structure in POSCAR format:
```
CdGa2Hg2
1.0
4.458 0.000 0.000
0.000 4.458 0.000
2.229 2.229 6.141
Hg Ga Cd
2 2 1
Cartesian
4.458 2.229 3.071
2.229 4.458 3.071
2.229 2.229 1.266
4.458 4.458 4.875
0.000 0.000 0.000
```

Mass density (g cm⁻³): 8.88
Space-group type: I4/mmm, No. 139
Calculated volume (Å³ per cell): 122.1



From most stable to least stable, the computed energies give A), B).



A) # Cd7GaHg4

Crystalline Cd7GaHg4 at its relaxed geometry (PBE, the Alexandria database).

The structure in POSCAR format:
```
Cd7GaHg4
1.0
4.309 0.000 0.000
-2.155 3.732 0.000
0.000 0.000 19.731
Cd Ga Hg
7 1 4
Cartesian
0.000 0.000 0.000
0.000 2.488 8.415
2.155 1.244 11.316
0.000 2.488 3.352
2.155 1.244 16.378
0.000 0.000 14.678
0.000 0.000 5.053
0.000 0.000 9.865
0.000 2.488 18.040
2.155 1.244 1.690
0.000 2.488 13.010
2.155 1.244 6.721
```

Mass density (g cm⁻³): 8.68
Space-group type: P-3m1, No. 164
Calculated volume (Å³ per cell): 317.3



B) # Cd7GaHg4

Crystalline Cd7GaHg4 at its relaxed geometry (PBE, the Alexandria database).

The structure in POSCAR format:
```
Cd7GaHg4
1.0
5.348 0.000 0.000
2.674 8.676 -0.165
2.674 0.231 6.537
Cd Ga Hg
7 1 4
Cartesian
8.023 7.881 3.269
2.674 1.026 3.104
2.674 5.942 0.953
8.023 2.965 5.420
5.348 4.956 4.678
2.674 0.000 0.000
5.348 3.951 1.695
0.000 0.000 0.000
5.348 2.082 3.987
5.348 6.825 2.386
8.023 5.985 5.552
2.674 2.922 0.821
```

Mass density (g cm⁻³): 9.07
Space-group type: C2/m, No. 12
Calculated volume (Å³ per cell): 303.6



From most stable to least stable, the computed energies give B), A).



A) # CdGa3Hg

Crystalline CdGa3Hg at its relaxed geometry (PBE, the Alexandria database).

The structure in POSCAR format:
```
CdGa3Hg
1.0
-2.291 1.428 4.479
-4.260 -2.737 -1.306
1.988 -4.221 2.363
Hg Ga Cd
1 3 1
Cartesian
-2.282 -2.765 2.768
-2.130 -1.369 -0.653
0.994 -2.110 1.181
-1.145 0.714 2.239
0.000 0.000 0.000
```

Mass density (g cm⁻³): 6.06
Space-group type: Pm-3m, No. 221
Calculated volume (Å³ per cell): 143.0



B) # CdGa3Hg

Crystalline CdGa3Hg at its relaxed geometry (PBE, the Alexandria database).

The structure in POSCAR format:
```
CdGa3Hg
1.0
-1.400 -4.357 -2.356
3.445 4.047 -3.909
4.527 -3.949 4.612
Cd Ga Hg
2 6 2
Cartesian
2.484 -1.101 -5.063
4.087 -3.158 3.410
4.135 -4.122 -0.457
6.126 -2.584 1.137
3.441 -1.625 0.960
2.436 -0.137 -1.196
3.130 -2.634 -2.613
0.446 -1.675 -2.790
1.182 -3.325 -0.177
5.390 -0.934 -1.476
```

Mass density (g cm⁻³): 7.99
Space-group type: C2/m, No. 12
Calculated volume (Å³ per cell): 217.0



From most stable to least stable, the computed energies give B), A).



A) # Cd8Ga3Hg2

Crystalline Cd8Ga3Hg2 at its relaxed geometry (PBE, the Alexandria database).

The structure in POSCAR format:
```
Cd8Ga3Hg2
1.0
-1.158 4.827 5.285
2.640 -4.293 4.499
5.066 3.503 -4.702
Cd Ga Hg
8 3 2
Cartesian
2.921 -1.480 1.946
3.627 5.517 3.136
0.971 4.446 3.672
5.577 -0.409 1.410
4.649 2.822 2.446
3.358 4.922 0.246
3.190 -0.885 4.836
1.899 1.215 2.636
-0.579 2.414 2.643
0.490 -0.798 0.836
2.149 -3.495 3.663
3.299 1.961 -0.065
3.249 2.076 5.147
```

Mass density (g cm⁻³): 7.63
Space-group type: C2/m, No. 12
Calculated volume (Å³ per cell): 328.6



B) # Cd8Ga3Hg2

Crystalline Cd8Ga3Hg2 at its relaxed geometry (PBE, the Alexandria database).

The structure in POSCAR format:
```
Cd8Ga3Hg2
1.0
-2.226 2.410 3.125
-4.529 -6.659 3.045
3.862 -3.705 6.744
Cd Ga Hg
8 3 2
Cartesian
-0.857 -5.393 6.251
-2.036 -2.560 6.663
-2.175 0.728 4.352
-0.718 -8.681 8.562
-3.739 -3.166 4.218
0.803 -1.566 6.221
-3.696 -6.387 6.693
0.846 -4.788 8.695
-1.113 1.205 1.562
1.986 -4.365 5.917
-2.652 -5.998 3.872
-0.940 -2.224 3.908
-1.953 -5.729 9.005
```

Mass density (g cm⁻³): 8.10
Space-group type: C2/m, No. 12
Calculated volume (Å³ per cell): 309.6



From most stable to least stable, the computed energies give B), A).



A) # Cd3GaHg3

Crystalline Cd3GaHg3 at its relaxed geometry (PBE, the Alexandria database).

The structure in POSCAR format:
```
Cd3GaHg3
1.0
-0.063 4.635 -2.523
-0.082 -4.050 -7.437
-7.293 1.982 3.823
Cd Ga Hg
6 2 6
Cartesian
-5.626 -0.614 -3.748
-0.398 0.286 -2.224
-1.480 -2.313 -6.972
-1.811 3.182 -2.390
-7.040 2.281 -3.914
-5.958 4.881 0.834
-2.501 -0.880 -4.315
-4.936 3.448 -1.823
-3.954 2.002 -4.503
-0.771 1.754 -5.038
-2.872 0.555 -7.189
-3.483 0.565 -1.635
-6.666 0.813 -1.100
-4.565 2.012 1.051
```

Mass density (g cm⁻³): 10.22
Space-group type: P6_3/m, No. 176
Calculated volume (Å³ per cell): 327.8



B) # Cd3GaHg3

Crystalline Cd3GaHg3 at its relaxed geometry (PBE, the Alexandria database).

The structure in POSCAR format:
```
Cd3GaHg3
1.0
-6.043 3.432 -3.958
-3.782 -7.039 -0.329
-3.625 1.623 6.942
Hg Ga Cd
6 2 6
Cartesian
-2.758 -0.948 3.388
-4.649 -4.467 3.224
-5.740 2.933 3.227
-6.423 -0.945 -3.133
-3.928 2.122 -0.244
-3.402 -2.661 -1.154
-6.725 -0.992 1.327
0.000 0.000 0.000
-3.323 1.670 2.481
-2.797 -3.114 1.571
-5.858 -3.563 -2.226
-6.344 3.386 0.502
-4.610 -2.302 5.042
-3.967 -0.044 -2.061
```

Mass density (g cm⁻³): 6.55
Space-group type: Pm-3n, No. 223
Calculated volume (Å³ per cell): 511.5



From most stable to least stable, the computed energies give A), B).



A) # Cd12GaHg7

Crystalline Cd12GaHg7 at its relaxed geometry (PBE, the Alexandria database).

The structure in POSCAR format:
```
Cd12GaHg7
1.0
-3.214 -3.694 -6.157
4.183 -6.246 2.319
-6.036 -1.511 4.813
Cd Ga Hg
12 1 7
Cartesian
-3.965 -3.113 -3.236
-7.281 -5.885 0.912
-3.426 -6.136 -2.389
-4.969 -4.167 -0.449
-1.752 -8.679 -3.174
-0.372 -6.297 -1.571
-4.695 -5.154 2.546
-3.315 -2.772 4.148
-0.098 -7.284 1.424
-1.641 -5.315 3.363
2.213 -5.566 0.062
-1.102 -8.338 4.211
0.000 0.000 0.000
-1.554 -2.566 -1.497
-5.474 -8.209 0.225
-2.765 -9.464 -0.436
-2.534 -5.725 0.487
-2.302 -1.987 1.410
0.407 -3.242 0.750
-3.514 -8.885 2.472
```

Mass density (g cm⁻³): 9.72
Space-group type: R-3m, No. 166
Calculated volume (Å³ per cell): 482.4



B) # Cd12GaHg7

Crystalline Cd12GaHg7 at its relaxed geometry (PBE, the Alexandria database).

The structure in POSCAR format:
```
Cd12GaHg7
1.0
8.128 0.208 0.313
-2.060 7.865 0.313
-2.060 -2.741 7.379
Cd Ga Hg
12 1 7
Cartesian
4.171 1.005 5.164
4.202 2.218 2.060
2.917 -0.494 2.534
5.294 4.020 4.570
0.962 0.109 5.087
2.390 1.828 7.485
1.618 3.505 0.520
3.046 5.224 2.917
-1.286 1.313 3.435
1.091 5.827 5.470
-0.194 3.115 5.945
-0.163 4.327 2.840
0.000 0.000 0.000
-2.859 2.675 7.112
0.644 -2.002 7.114
-2.102 6.541 2.797
2.004 2.666 4.002
6.110 -1.208 5.208
3.364 7.335 0.891
6.867 2.658 0.893
```

Mass density (g cm⁻³): 9.59
Space-group type: R-3, No. 148
Calculated volume (Å³ per cell): 488.5



From most stable to least stable, the computed energies give A), B).



A) # Cd5Ga2Hg

Crystalline Cd5Ga2Hg at its relaxed geometry (PBE, the Alexandria database).

The structure in POSCAR format:
```
Cd5Ga2Hg
1.0
3.827 0.000 0.000
1.914 7.056 -0.289
1.914 1.848 6.816
Cd Ga Hg
5 2 1
Cartesian
1.914 4.452 3.264
3.827 4.253 0.924
3.827 4.651 5.603
3.827 6.743 2.750
3.827 2.160 3.778
5.741 6.966 5.107
1.914 1.938 1.421
0.000 0.000 0.000
```

Mass density (g cm⁻³): 8.05
Space-group type: Immm, No. 71
Calculated volume (Å³ per cell): 186.1



B) # Cd5Ga2Hg

Crystalline Cd5Ga2Hg at its relaxed geometry (PBE, the Alexandria database).

The structure in POSCAR format:
```
Cd5Ga2Hg
1.0
4.356 0.000 -0.845
-0.164 4.353 -0.845
-0.416 -0.432 9.507
Cd Ga Hg
5 2 1
Cartesian
2.096 2.176 -0.845
1.162 3.468 5.990
3.421 1.291 5.990
2.614 0.453 1.828
0.354 2.630 1.828
2.936 3.049 3.488
0.840 0.872 4.330
0.000 0.000 0.000
```

Mass density (g cm⁻³): 8.46
Space-group type: I4/mmm, No. 139
Calculated volume (Å³ per cell): 177.1



From most stable to least stable, the computed energies give B), A).



A) # CdGaHg

Crystalline CdGaHg at its relaxed geometry (PBE, the Alexandria database).

The structure in POSCAR format:
```
CdGaHg
1.0
-2.675 -0.498 -1.480
2.698 -0.436 -1.489
-0.466 -15.113 5.903
Cd Ga Hg
2 2 2
Cartesian
-0.116 -5.603 0.738
-1.872 -8.198 1.521
-0.812 -13.118 4.497
-1.626 -15.798 3.651
-0.815 -10.426 3.621
-1.155 -3.366 -1.344
```

Mass density (g cm⁻³): 9.39
Space-group type: P1, No. 1
Calculated volume (Å³ per cell): 135.3



B) # CdGaHg

Crystalline CdGaHg at its relaxed geometry (PBE, the Alexandria database).

The structure in POSCAR format:
```
CdGaHg
1.0
-2.411 1.534 -1.413
-0.824 -2.685 -1.508
-2.389 -1.046 6.539
Hg Ga Cd
1 1 1
Cartesian
-2.981 -1.127 0.267
-2.694 -1.090 3.415
-5.575 -2.176 3.554
```

Mass density (g cm⁻³): 9.38
Space-group type: I4mm, No. 107
Calculated volume (Å³ per cell): 67.8



From most stable to least stable, the computed energies give A), B).